Record 1
La4SnPd (PBE, optimized geometry); V = 366.5 Å³ per cell; E above lowest polymorph = 0.0 meV per atom; formation energy from the elements = -0.5414 eV/atom; DFT total energy = -64.31 eV/cell; size of the total moment = 0.00 μB per formula unit
1.0
5.6384 0.0000 0.0000
0.0000 7.2815 0.0000
-1.4771 0.0000 8.9259
La Sn Pd
8 2 2
direct
0.1575 0.2500 0.0450 La
0.2139 0.7500 0.3690 La
0.3224 0.5260 0.7299 La
0.3224 0.9740 0.7299 La
0.6776 0.0260 0.2701 La
0.6776 0.4740 0.2701 La
0.7861 0.2500 0.6310 La
0.8425 0.7500 0.9550 La
0.2242 0.2500 0.4144 Sn
0.7758 0.7500 0.5856 Sn
0.3487 0.7500 0.0563 Pd
0.6513 0.2500 0.9437 Pd

---

Record 2
La4SnPd3 (PBE, optimized geometry); V = 220.1 Å³ per cell; formation energy from the elements = -0.7864 eV/atom; DFT total energy = -45.58 eV/cell; size of the total moment = 0.00 μB per formula unit
1.0
4.1808 0.0000 0.0000
0.0000 4.6436 0.0000
0.0000 0.0000 11.3364
La Sn Pd
4 1 3
direct
0.0000 0.0000 0.0000 La
0.0000 0.5000 0.2581 La
0.5000 0.0000 0.4759 La
0.5000 0.5000 0.7708 La
0.0000 0.0000 0.7012 Sn
0.0000 0.5000 0.5348 Pd
0.5000 0.0000 0.2099 Pd
0.5000 0.5000 0.0442 Pd

---

Record 3
La2SnPd5 (PBE, optimized geometry); V = 170.1 Å³ per cell; E above lowest polymorph = 0.0 meV per atom; formation energy from the elements = -0.7641 eV/atom; DFT total energy = -45.93 eV/cell; size of the total moment = 0.00 μB per formula unit
1.0
-3.1900 3.1900 4.1786
3.1900 -3.1900 4.1786
3.1900 3.1900 -4.1786
La Sn Pd
2 1 5
direct
0.0000 0.5000 0.5000 La
0.5000 0.0000 0.5000 La
0.1680 0.1680 0.0000 Sn
0.5020 0.5020 0.0000 Pd
0.5458 0.5458 0.5689 Pd
0.5458 0.9769 0.0000 Pd
0.9769 0.5458 0.0000 Pd
0.9769 0.9769 0.4311 Pd

---

Record 4
La7Sn2Pd2 (PBE, optimized geometry); V = 360.1 Å³ per cell; formation energy from the elements = -0.4681 eV/atom; DFT total energy = -58.03 eV/cell; size of the total moment = 0.00 μB per formula unit
1.0
5.8865 -4.2495 0.0000
5.8865 4.2495 0.0000
-0.0096 0.0000 7.1976
La Sn Pd
7 2 2
direct
0.0000 0.0000 0.0000 La
0.0002 0.5003 0.2700 La
0.9998 0.4997 0.7300 La
0.5003 0.0002 0.2700 La
0.4997 0.9998 0.7300 La
0.5002 0.5002 0.2339 La
0.4998 0.4998 0.7661 La
0.1734 0.8266 0.5000 Sn
0.8266 0.1734 0.5000 Sn
0.2742 0.2742 0.0000 Pd
0.7258 0.7258 0.0000 Pd

---

Record 5
La3SnPd12 (PBE, optimized geometry); V = 293.3 Å³ per cell; formation energy from the elements = -0.7189 eV/atom; DFT total energy = -92.60 eV/cell; size of the total moment = 0.00 μB per formula unit
1.0
4.2047 0.0000 0.0000
0.0000 4.2047 0.0000
0.0000 0.0000 16.5899
La Sn Pd
3 1 12
direct
0.0000 0.0000 0.0000 La
0.0000 0.0000 0.2557 La
0.0000 0.0000 0.7443 La
0.0000 0.0000 0.5000 Sn
0.0000 0.5000 0.1284 Pd
0.0000 0.5000 0.3862 Pd
0.0000 0.5000 0.6138 Pd
0.0000 0.5000 0.8716 Pd
0.5000 0.0000 0.1284 Pd
0.5000 0.0000 0.3862 Pd
0.5000 0.0000 0.6138 Pd
0.5000 0.0000 0.8716 Pd
0.5000 0.5000 0.0000 Pd
0.5000 0.5000 0.2586 Pd
0.5000 0.5000 0.5000 Pd
0.5000 0.5000 0.7414 Pd

---

Record 6
LaSn2Pd7 (PBE, optimized geometry); V = 228.1 Å³ per cell; formation energy from the elements = -0.2754 eV/atom; DFT total energy = -52.04 eV/cell; size of the total moment = 0.00 μB per formula unit
1.0
3.6923 -6.6520 0.0000
3.6923 6.6520 0.0000
0.0000 0.0000 4.6434
La Sn Pd
1 2 7
direct
0.0000 0.0000 0.0000 La
0.3002 0.6998 0.5000 Sn
0.6998 0.3002 0.5000 Sn
0.0706 0.2936 0.5000 Pd
0.2088 0.7912 0.0000 Pd
0.2936 0.0706 0.5000 Pd
0.5000 0.5000 0.5000 Pd
0.7064 0.9294 0.5000 Pd
0.7912 0.2088 0.0000 Pd
0.9294 0.7064 0.5000 Pd